An optimized crystal structure of Tl2Cd2Pb. Source: the Alexandria database, functional PBE.

N(E_F) = 4.5 states/eV/cell
total energy = -1.9927 eV per atom
energy of formation = 30 kJ/mol of formula units
space-group type = P4/mbm, No. 127

Unit cell a=8.6856 b=8.6856 c=3.7906 alpha=90.00 beta=90.00 gamma=90.00
With the nearest neighbours (Å) after each atom.
Positions (direct):
Pb  0.0000  0.0000  0.0000  4 Cd 3.43, 8 Tl 3.73, 2 Pb 3.79
Pb  0.5000  0.5000  0.0000  4 Cd 3.43, 8 Tl 3.73, 2 Pb 3.79
Tl  0.1732  0.6732  0.5000  6 Cd 3.11-3.24
Tl  0.6732  0.8268  0.5000  6 Cd 3.11-3.24
Tl  0.8268  0.3268  0.5000  6 Cd 3.11-3.24
Tl  0.3268  0.1732  0.5000  6 Cd 3.11-3.24
Cd  0.3743  0.8743  0.0000  1 Cd 3.09, 6 Tl 3.11-3.24, 2 Pb 3.43
Cd  0.8743  0.6257  0.0000  1 Cd 3.09, 6 Tl 3.11-3.24, 2 Pb 3.43
Cd  0.6257  0.1257  0.0000  1 Cd 3.09, 6 Tl 3.11-3.24, 2 Pb 3.43
Cd  0.1257  0.3743  0.0000  1 Cd 3.09, 6 Tl 3.11-3.24, 2 Pb 3.43

An optimized crystal structure of TlCd17Pb. Source: the Alexandria database, functional PBE.

N(E_F) = 9.5 states/eV/cell
total energy = -1.0972 eV per atom
energy of formation = 76 kJ/mol of formula units
space-group type = R3m, No. 160

Unit cell a=7.7863 b=7.7863 c=7.7863 alpha=83.95 beta=83.95 gamma=83.95
With the nearest neighbours (Å) after each atom.
Positions (direct):
Tl  0.6595  0.6595  0.6595  19 Cd 3.64-4.07
Cd  0.2970  0.0006  0.6988  8 Cd 2.92-3.20
Cd  0.6988  0.2970  0.0006  8 Cd 2.92-3.20
Cd  0.0006  0.6988  0.2970  8 Cd 2.92-3.20
Cd  0.2970  0.6988  0.0006  8 Cd 2.92-3.20
Cd  0.0006  0.2970  0.6988  8 Cd 2.92-3.20
Cd  0.6988  0.0006  0.2970  8 Cd 2.92-3.20
Cd  0.3469  0.8675  0.3469  9 Cd 2.98-3.20
Cd  0.3469  0.3469  0.8675  9 Cd 2.98-3.20
Cd  0.8675  0.3469  0.3469  9 Cd 2.98-3.20
Cd  0.6307  0.1864  0.6307  8 Cd 2.98-3.20
Cd  0.6307  0.6307  0.1864  8 Cd 2.98-3.20
Cd  0.1864  0.6307  0.6307  8 Cd 2.98-3.20
Cd  0.9794  0.5223  0.9794  9 Cd 2.92-3.12
Cd  0.9794  0.9794  0.5223  9 Cd 2.92-3.12
Cd  0.5223  0.9794  0.9794  9 Cd 2.92-3.12
Cd  0.9051  0.9051  0.9051  4 Cd 2.98-3.06
Cd  0.1111  0.1111  0.1111  7 Cd 3.06-3.35, 1 Pb 3.41
Pb  0.3412  0.3412  0.3412  13 Cd 3.40-3.68

An optimized crystal structure of Tl5Cd3Pb3. Source: the Alexandria database, functional PBE.

N(E_F) = 2.9 states/eV/cell
total energy = -2.2492 eV per atom
energy of formation = 93 kJ/mol of formula units
space-group type = P-62m, No. 189

Unit cell a=3.3045 b=10.9345 c=10.9345 alpha=120.00 beta=90.00 gamma=90.00
With the nearest neighbours (Å) after each atom.
Positions (direct):
Tl  0.5000  0.6667  0.3333  5 Tl 3.30-3.67
Tl  0.5000  0.3333  0.6667  5 Tl 3.30-3.67
Tl  0.5000  0.3279  0.0000  2 Cd 3.11, 2 Tl 3.30, 2 Pb 3.37
Tl  0.5000  0.6721  0.6721  2 Cd 3.11, 2 Tl 3.30, 2 Pb 3.37
Tl  0.5000  0.0000  0.3279  2 Cd 3.11, 2 Tl 3.30, 2 Pb 3.37
Cd  0.5000  0.8424  0.0000  4 Cd 2.99-3.30, 2 Tl 3.11, 2 Pb 3.15
Cd  0.5000  0.1576  0.1576  4 Cd 2.99-3.30, 2 Tl 3.11, 2 Pb 3.15
Cd  0.5000  0.0000  0.8424  4 Cd 2.99-3.30, 2 Tl 3.11, 2 Pb 3.15
Pb  0.0000  0.5966  0.0000  2 Cd 3.15, 2 Pb 3.30, 2 Tl 3.37
Pb  0.0000  0.0000  0.5966  2 Cd 3.15, 2 Pb 3.30, 2 Tl 3.37
Pb  0.0000  0.4034  0.4034  2 Cd 3.15, 2 Pb 3.30, 2 Tl 3.37

An optimized crystal structure of TlCd2Pb. Source: the Alexandria database, functional PBE.

N(E_F) = 1.5 states/eV/cell
total energy = -1.9245 eV per atom
energy of formation = 20 kJ/mol of formula units
space-group type = Imm2, No. 44

Unit cell a=6.5152 b=6.5152 c=6.5152 alpha=148.39 beta=129.53 gamma=60.78
With the nearest neighbours (Å) after each atom.
Positions (direct):
Pb  0.5142  0.5142  0.0000  6 Cd 3.31, 2 Pb 3.55, 2 Tl 3.57
Tl  0.2388  0.7388  0.5000  6 Cd 3.31-3.37, 2 Tl 3.55, 2 Pb 3.57
Cd  0.9837  0.9837  0.0000  2 Cd 3.05, 4 Pb 3.31, 2 Tl 3.37
Cd  0.7632  0.2632  0.5000  2 Cd 3.05, 4 Tl 3.31, 2 Pb 3.31